[1]
## SnINF2 (PBE)

Data for a geometry-optimized SnINF2 structure.

Values from the calculation:
Energy above the lowest structure with this stoichiometry (eV per atom): 0.000
Formation energy without anion corrections (eV/f.u.): -2.410
D(E_F) (states/eV/cell): 1.16

Unit cell a=4.257 b=4.257 c=4.494 alpha=90.00 beta=90.00 gamma=90.00
Fractional coordinates of all 5 atoms:
F  0.500  0.000  0.000
F  0.000  0.500  0.000
Sn  0.000  0.000  0.000
N  0.000  0.000  0.500
I  0.500  0.500  0.500

***

[2]
## SnI2NF (PBE)

Data for a geometry-optimized SnI2NF structure.

Values from the calculation:
Energy above the lowest structure with this stoichiometry (eV per atom): 0.000
Formation energy without anion corrections (eV/f.u.): 2.759
D(E_F) (states/eV/cell): 7.21

Unit cell a=5.920 b=5.920 c=4.051 alpha=90.00 beta=90.00 gamma=90.00
Last column: magnetic moment on the atom in μB.
Fractional coordinates of all 5 atoms:
I  0.500  0.000  0.000  0.32
I  0.000  0.500  0.000  0.32
F  0.500  0.500  0.500  0.43
N  0.000  0.000  0.500  0.62
Sn  0.000  0.000  0.000  -0.06

***

Copy entry 2 word for word.
## SnI2NF (PBE)

Data for a geometry-optimized SnI2NF structure.

Values from the calculation:
Energy above the lowest structure with this stoichiometry (eV per atom): 0.000
Formation energy without anion corrections (eV/f.u.): 2.759
D(E_F) (states/eV/cell): 7.21

Unit cell a=5.920 b=5.920 c=4.051 alpha=90.00 beta=90.00 gamma=90.00
Last column: magnetic moment on the atom in μB.
Fractional coordinates of all 5 atoms:
I  0.500  0.000  0.000  0.32
I  0.000  0.500  0.000  0.32
F  0.500  0.500  0.500  0.43
N  0.000  0.000  0.500  0.62
Sn  0.000  0.000  0.000  -0.06

***

Question: The lowest D(E_F) belongs to which entry?
Answer: SnINF2

***

Question: Which value of formation energy without anion corrections does entry 2 give?
Answer: 2.759 eV/f.u.